Entry 1:
The following is a DFT calculation (PBE) of a relaxed structure of H4PdPt.

abc: 7.480 7.480 4.413
angles: 90.00 90.00 155.46
Sites, in units of the cell vectors:
H: 0.000 0.000 0.000
H: 0.000 0.000 0.500
H: 0.186 0.814 0.984
H: 0.187 0.813 0.511
H: 0.447 0.553 0.752
H: 0.553 0.447 0.252
H: 0.813 0.187 0.011
H: 0.814 0.186 0.484
Pd: 0.299 0.701 0.249
Pd: 0.701 0.299 0.749
Pt: 0.091 0.909 0.249
Pt: 0.909 0.091 0.749

Values from the calculation:
- M_tot: 0.00 μB per formula unit
- Energy above the most stable polymorph in this dataset: 0.0 meV per atom
- Density of states at the Fermi level: 0.189 states/eV/atom
- V: 8.5 Å³ per atom
- Space group: Cmc2_1 (36)

***

Entry 2:
The following is a DFT calculation (PBE) of a relaxed structure of H6PdPt2.

abc: 8.029 8.029 4.012
angles: 90.00 90.00 120.00
Sites, in units of the cell vectors:
H: 0.089 0.570 0.225
H: 0.102 0.231 0.242
H: 0.129 0.898 0.242
H: 0.203 0.434 0.713
H: 0.231 0.102 0.758
H: 0.231 0.797 0.713
H: 0.430 0.519 0.225
H: 0.434 0.203 0.287
H: 0.481 0.911 0.225
H: 0.519 0.430 0.775
H: 0.566 0.769 0.713
H: 0.570 0.089 0.775
H: 0.769 0.566 0.287
H: 0.769 0.871 0.242
H: 0.797 0.231 0.287
H: 0.871 0.769 0.758
H: 0.898 0.129 0.758
H: 0.911 0.481 0.775
Pd: 0.000 0.000 0.000
Pd: 0.333 0.667 0.423
Pd: 0.667 0.333 0.577
Pt: 0.000 0.350 0.000
Pt: 0.000 0.693 0.500
Pt: 0.307 0.307 0.500
Pt: 0.350 0.000 0.000
Pt: 0.650 0.650 0.000
Pt: 0.693 0.000 0.500

Values from the calculation:
- M_tot: 0.00 μB per formula unit
- Total DFT energy (no corrections): -110.364 eV for the cell shown
- Density of states at the Fermi level: 0.128 states/eV/atom
- V: 8.3 Å³ per atom
- Space group: P321 (150)

***

Entry 3:
The following is a DFT calculation (PBE) of a relaxed structure of H2PdPt.

abc: 2.871 2.871 16.164
angles: 90.00 90.00 120.00
Sites, in units of the cell vectors:
H: 0.000 0.000 0.109
H: 0.000 0.000 0.891
H: 0.333 0.667 0.558
H: 0.333 0.667 0.776
H: 0.667 0.333 0.224
H: 0.667 0.333 0.442
Pd: 0.000 0.000 0.500
Pd: 0.333 0.667 0.167
Pd: 0.667 0.333 0.833
Pt: 0.000 0.000 0.000
Pt: 0.333 0.667 0.667
Pt: 0.667 0.333 0.333

Values from the calculation:
- M_tot: 0.00 μB per formula unit
- Energy above the most stable polymorph in this dataset: 11.9 meV per atom
- Density of states at the Fermi level: 0.325 states/eV/atom
- V: 9.6 Å³ per atom
- Space group: R-3m (166)

***

Entry 4:
The following is a DFT calculation (PBE) of a relaxed structure of H4PdPt.

abc: 4.069 4.897 5.489
angles: 98.13 109.72 95.69
Sites, in units of the cell vectors:
H: 0.040 0.310 0.113
H: 0.139 0.917 0.347
H: 0.306 0.486 0.601
H: 0.435 0.012 0.834
H: 0.565 0.988 0.166
H: 0.694 0.514 0.399
H: 0.861 0.083 0.653
H: 0.960 0.690 0.887
Pd: 0.346 0.655 0.171
Pd: 0.654 0.345 0.829
Pt: 0.087 0.783 0.630
Pt: 0.913 0.217 0.370

Values from the calculation:
- M_tot: 0.00 μB per formula unit
- Energy above the most stable polymorph in this dataset: 9.7 meV per atom
- Density of states at the Fermi level: 0.162 states/eV/atom
- V: 8.4 Å³ per atom
- Space group: P-1 (2)

***

Entry 5:
The following is a DFT calculation (PBE) of a relaxed structure of HPdPt3.

abc: 2.827 6.096 7.660
angles: 90.00 90.00 90.00
Sites, in units of the cell vectors:
H: 0.000 0.000 0.000
H: 0.000 0.500 0.500
Pd: 0.500 0.000 0.160
Pd: 0.500 0.500 0.660
Pt: 0.000 0.233 0.408
Pt: 0.000 0.267 0.908
Pt: 0.000 0.733 0.908
Pt: 0.000 0.767 0.408
Pt: 0.500 0.000 0.667
Pt: 0.500 0.500 0.167

Values from the calculation:
- M_tot: 0.00 μB per formula unit
- Energy above the most stable polymorph in this dataset: 0.0 meV per atom
- Density of states at the Fermi level: 1.534 states/eV/atom
- V: 13.2 Å³ per atom
- Space group: Amm2 (38)

***

Entry 6:
The following is a DFT calculation (PBE) of a relaxed structure of H3PdPt.

abc: 3.484 3.484 3.484
angles: 90.00 90.00 90.00
Sites, in units of the cell vectors:
H: 0.000 0.000 0.500
H: 0.000 0.500 0.000
H: 0.500 0.000 0.000
Pd: 0.000 0.000 0.000
Pt: 0.500 0.500 0.500

Values from the calculation:
- M_tot: 0.00 μB per formula unit
- Energy above the most stable polymorph in this dataset: 297.3 meV per atom
- Density of states at the Fermi level: 0.251 states/eV/atom
- V: 8.5 Å³ per atom
- Space group: Pm-3m (221)

***

Entry 7:
The following is a DFT calculation (PBE) of a relaxed structure of H3Pd2Pt2.

abc: 10.709 3.001 4.936
angles: 90.00 116.23 90.00
Sites, in units of the cell vectors:
H: 0.000 0.000 0.000
H: 0.190 0.500 0.708
H: 0.310 0.000 0.292
H: 0.500 0.500 0.000
H: 0.690 0.000 0.708
H: 0.810 0.500 0.292
Pd: 0.126 0.500 0.286
Pd: 0.374 0.000 0.714
Pd: 0.626 0.000 0.286
Pd: 0.874 0.500 0.714
Pt: 0.119 0.000 0.786
Pt: 0.381 0.500 0.214
Pt: 0.619 0.500 0.786
Pt: 0.881 0.000 0.214

Values from the calculation:
- M_tot: 0.00 μB per formula unit
- Energy above the most stable polymorph in this dataset: 4.2 meV per atom
- Density of states at the Fermi level: 0.247 states/eV/atom
- V: 10.2 Å³ per atom
- Space group: C2/m (12)

***

Entry 8:
The following is a DFT calculation (PBE) of a relaxed structure of H4Pd4Pt.

abc: 5.065 5.065 5.065
angles: 99.38 99.38 132.37
Sites, in units of the cell vectors:
H: 0.061 0.278 0.339
H: 0.278 0.939 0.218
H: 0.722 0.061 0.782
H: 0.939 0.722 0.661
Pd: 0.201 0.601 0.802
Pd: 0.399 0.201 0.599
Pd: 0.601 0.799 0.401
Pd: 0.799 0.399 0.198
Pt: 0.000 0.000 0.000

Values from the calculation:
- M_tot: 0.00 μB per formula unit
- Energy above the most stable polymorph in this dataset: 6.3 meV per atom
- Density of states at the Fermi level: 0.227 states/eV/atom
- V: 9.8 Å³ per atom
- Space group: I4/m (87)

***

Entry 9:
The following is a DFT calculation (PBE) of a relaxed structure of H2PdPt.

abc: 4.231 4.231 8.653
angles: 90.00 90.00 90.00
Sites, in units of the cell vectors:
H: 0.238 0.250 0.125
H: 0.250 0.738 0.375
H: 0.250 0.762 0.875
H: 0.262 0.250 0.625
H: 0.738 0.750 0.625
H: 0.750 0.238 0.875
H: 0.750 0.262 0.375
H: 0.762 0.750 0.125
Pd: 0.000 0.000 0.500
Pd: 0.000 0.500 0.750
Pd: 0.500 0.000 0.250
Pd: 0.500 0.500 0.000
Pt: 0.000 0.000 0.000
Pt: 0.000 0.500 0.250
Pt: 0.500 0.000 0.750
Pt: 0.500 0.500 0.500

Values from the calculation:
- M_tot: 0.00 μB per formula unit
- Energy above the most stable polymorph in this dataset: 0.0 meV per atom
- Density of states at the Fermi level: 0.246 states/eV/atom
- V: 9.7 Å³ per atom
- Space group: I-42d (122)

***

Entry 10:
The following is a DFT calculation (PBE) of a relaxed structure of HPd2Pt.

abc: 2.818 2.818 21.161
angles: 90.00 90.00 120.00
Sites, in units of the cell vectors:
H: 0.000 0.000 0.000
H: 0.333 0.667 0.667
H: 0.667 0.333 0.333
Pd: 0.000 0.000 0.276
Pd: 0.000 0.000 0.724
Pd: 0.333 0.667 0.390
Pd: 0.333 0.667 0.943
Pd: 0.667 0.333 0.057
Pd: 0.667 0.333 0.610
Pt: 0.000 0.000 0.500
Pt: 0.333 0.667 0.167
Pt: 0.667 0.333 0.833

Values from the calculation:
- M_tot: 0.00 μB per formula unit
- Energy above the most stable polymorph in this dataset: 0.0 meV per atom
- Density of states at the Fermi level: 1.447 states/eV/atom
- V: 12.1 Å³ per atom
- Space group: R-3m (166)

***

Entry 11:
The following is a DFT calculation (PBE) of a relaxed structure of H2PdPt2.

abc: 5.463 5.463 5.332
angles: 118.54 118.54 93.59
Sites, in units of the cell vectors:
H: 0.103 0.274 0.165
H: 0.274 0.103 0.665
H: 0.726 0.897 0.335
H: 0.897 0.726 0.835
Pd: 0.167 0.833 0.750
Pd: 0.833 0.167 0.250
Pt: 0.000 0.500 0.000
Pt: 0.500 0.000 0.500
Pt: 0.500 0.500 0.000
Pt: 0.500 0.500 0.500

Values from the calculation:
- M_tot: 0.00 μB per formula unit
- Energy above the most stable polymorph in this dataset: 67.0 meV per atom
- Density of states at the Fermi level: 0.467 states/eV/atom
- V: 11.4 Å³ per atom
- Space group: C2/c (15)

***

Entry 12:
The following is a DFT calculation (PBE) of a relaxed structure of H8Pd2Pt3.

abc: 5.112 5.112 5.029
angles: 103.90 103.90 65.76
Sites, in units of the cell vectors:
H: 0.092 0.648 0.130
H: 0.109 0.109 0.371
H: 0.352 0.908 0.870
H: 0.388 0.388 0.584
H: 0.612 0.612 0.416
H: 0.648 0.092 0.130
H: 0.891 0.891 0.629
H: 0.908 0.352 0.870
Pd: 0.316 0.316 0.903
Pd: 0.684 0.684 0.097
Pt: 0.000 0.000 0.000
Pt: 0.250 0.750 0.500
Pt: 0.750 0.250 0.500

Values from the calculation:
- M_tot: 0.00 μB per formula unit
- Total DFT energy (no corrections): -54.688 eV for the cell shown
- Density of states at the Fermi level: 0.212 states/eV/atom
- V: 8.8 Å³ per atom
- Space group: C2/m (12)